Below is an optimized crystal structure of CsSr2CrH, with properties calculated at the GGA-PBEsol level.

Unit cell a=6.1299 b=6.1299 c=4.0299 alpha=90.00 beta=90.00 gamma=90.00
With the nearest neighbours (Å) after each atom.
Positions (direct):
1 Cs 0.0000 0.0000 0.0000  8 Sr 3.67, 2 Cs 4.03
2 Sr 0.0000 0.5000 0.5000  2 H 3.06
3 Sr 0.5000 0.0000 0.5000  2 H 3.06
4 Cr 0.5000 0.5000 0.0000  2 H 2.01
5 H 0.5000 0.5000 0.5000  2 Cr 2.01

Crystal system: tetragonal
Density of states at the Fermi level in states/eV per atom: 0.885
Total magnetic moment in μB per formula unit: 3.8
SG: P4/mmm (123)
E in eV per atom: -3.06



Below is an optimized crystal structure of Cs3CrHg, with properties calculated at the GGA-PBEsol level.

Unit cell a=6.9233 b=6.9233 c=6.9233 alpha=90.00 beta=90.00 gamma=90.00
With the nearest neighbours (Å) after each atom.
Positions (direct):
1 Cs 0.0000 0.0000 0.5000  2 Hg 3.46
2 Cs 0.0000 0.5000 0.0000  2 Hg 3.46
3 Cs 0.5000 0.0000 0.0000  2 Hg 3.46
4 Cr 0.5000 0.5000 0.5000  12 Cs 4.90
5 Hg 0.0000 0.0000 0.0000  6 Cs 3.46

Crystal system: cubic
ΔH_f (0 K) in eV/atom: 0.6855
Density of states at the Fermi level in states/eV per atom: 0.962
Total magnetic moment in μB per formula unit: 5.6
SG: Pm-3m (221)



Below is an optimized crystal structure of CsCr2HgIr, with properties calculated at the GGA-PBEsol level.

Unit cell a=4.9167 b=4.9167 c=5.5635 alpha=90.00 beta=90.00 gamma=90.00
With the nearest neighbours (Å) after each atom.
Positions (direct):
1 Cs 0.0000 0.0000 0.0000  4 Cr 2.46
2 Cr 0.0000 0.5000 0.0000  2 Cs 2.46
3 Cr 0.5000 0.0000 0.0000  2 Cs 2.46
4 Hg 0.0000 0.0000 0.5000  2 Cs 2.78
5 Ir 0.5000 0.5000 0.5000  4 Hg 3.48, 8 Cr 3.71

Crystal system: tetragonal
ΔH_f (0 K) in eV/atom: 3.0169
Density of states at the Fermi level in states/eV per atom: 1.387
Total magnetic moment in μB per formula unit: 8.9
SG: P4/mmm (123)